# 1
The following is a DFT calculation (PBE) of a relaxed structure of Rb4YBr6.

space-group type	No. 128
formation energy without anion corrections	-1.650	eV per atom

Cell: 9.6335 9.6335 9.8635 Å, 90.00 90.00 90.00°
Closest atoms and distances in Å follow each position.
Fractional positions:
Rb 0.1735 0.3265 0.2500  6 Br 3.54-3.58
Rb 0.1735 0.3265 0.7500  6 Br 3.54-3.58
Rb 0.3265 0.8265 0.2500  6 Br 3.54-3.58
Rb 0.3265 0.8265 0.7500  6 Br 3.54-3.58
Rb 0.6735 0.1735 0.2500  6 Br 3.54-3.58
Rb 0.6735 0.1735 0.7500  6 Br 3.54-3.58
Rb 0.8265 0.6735 0.2500  6 Br 3.54-3.58
Rb 0.8265 0.6735 0.7500  6 Br 3.54-3.58
Y 0.0000 0.0000 0.0000  6 Br 2.84-2.94
Y 0.5000 0.5000 0.5000  6 Br 2.84-2.94
Br 0.0000 0.0000 0.2875  1 Y 2.84
Br 0.0000 0.0000 0.7125  1 Y 2.84
Br 0.0901 0.7084 0.0000  1 Y 2.94
Br 0.2084 0.5901 0.5000  1 Y 2.94
Br 0.2916 0.0901 0.0000  1 Y 2.94
Br 0.4099 0.2084 0.5000  1 Y 2.94
Br 0.5000 0.5000 0.2125  1 Y 2.84
Br 0.5000 0.5000 0.7875  1 Y 2.84
Br 0.5901 0.7916 0.5000  1 Y 2.94
Br 0.7084 0.9099 0.0000  1 Y 2.94
Br 0.7916 0.4099 0.5000  1 Y 2.94
Br 0.9099 0.2916 0.0000  1 Y 2.94


# 2
The following is a DFT calculation (PBE) of a relaxed structure of La4Dy4Ho5.

space-group type	No. 87
energy of formation	0.41	eV per formula unit

Cell: 9.5365 9.5365 9.5365 Å, 94.10 94.10 149.00°
Closest atoms and distances in Å follow each position.
Fractional positions:
La 0.1522 0.2285 0.3807  6 Ho 3.57-3.65, 4 Dy 3.62-3.64, 2 La 3.64
La 0.2285 0.8478 0.0764  6 Ho 3.57-3.65, 4 Dy 3.62-3.64, 2 La 3.64
La 0.7715 0.1522 0.9236  6 Ho 3.57-3.65, 4 Dy 3.62-3.64, 2 La 3.64
La 0.8478 0.7715 0.6193  6 Ho 3.57-3.65, 4 Dy 3.62-3.64, 2 La 3.64
Dy 0.0775 0.6124 0.6898  5 Dy 3.55-3.58, 3 Ho 3.57-3.64, 4 La 3.62-3.64
Dy 0.3876 0.0775 0.4651  5 Dy 3.55-3.58, 3 Ho 3.57-3.64, 4 La 3.62-3.64
Dy 0.6124 0.9225 0.5349  5 Dy 3.55-3.58, 3 Ho 3.57-3.64, 4 La 3.62-3.64
Dy 0.9225 0.3876 0.3102  5 Dy 3.55-3.58, 3 Ho 3.57-3.64, 4 La 3.62-3.64
Ho 0.0000 0.0000 0.0000  4 La 3.57, 8 Ho 3.60
Ho 0.3080 0.4627 0.7706  3 Dy 3.57-3.64, 5 La 3.58-3.65, 4 Ho 3.60
Ho 0.4627 0.6921 0.1547  3 Dy 3.57-3.64, 5 La 3.58-3.65, 4 Ho 3.60
Ho 0.5373 0.3080 0.8453  3 Dy 3.57-3.64, 5 La 3.58-3.65, 4 Ho 3.60
Ho 0.6921 0.5373 0.2294  3 Dy 3.57-3.64, 5 La 3.58-3.65, 4 Ho 3.60


# 3
The following is a DFT calculation (PBE) of a relaxed structure of ZrVTe3.

space-group type	No. 38
formation energy without anion corrections	-0.376	eV per atom

Cell: 4.0092 5.9147 5.9147 Å, 106.31 90.00 90.00°
Closest atoms and distances in Å follow each position.
Fractional positions:
Zr 0.0000 0.0000 0.0000  6 Te 2.83-3.15, 2 V 3.15
V 0.5000 0.6569 0.6569  5 Te 2.67-2.70
Te 0.0000 0.4734 0.8542  2 V 2.70, 1 Zr 2.99
Te 0.0000 0.8542 0.4734  2 V 2.70, 1 Zr 2.99
Te 0.5000 0.2811 0.2811  1 V 2.67, 2 Zr 2.83